VASP calculation (PBE) on crystalline Sr2ReSi at its relaxed geometry.

Cell: 10.242 10.242 10.242 Å, 19.23 19.23 19.23°
Fractional coordinates of all 4 atoms:
Sr1 0.249 0.249 0.249
Sr2 0.751 0.751 0.751
Re1 0.500 0.500 0.500
Si1 0.000 0.000 0.000

Formation energy without anion corrections: 982 meV/atom
Density: 6.346 Mg/m³



VASP calculation (PBE) on crystalline NdYTc4 at its relaxed geometry.

Cell: 5.454 5.454 5.454 Å, 60.00 60.00 60.00°
Fractional coordinates of all 6 atoms:
Nd1 0.000 0.000 0.000
Y1 0.750 0.750 0.750
Tc1 0.375 0.375 0.375
Tc2 0.375 0.375 0.875
Tc3 0.375 0.875 0.375
Tc4 0.875 0.375 0.375

Energy of formation from the pure elements: -0.031 eV/atom
Density: 9.050 Mg/m³



VASP calculation (PBE) on crystalline LaCu2Ir at its relaxed geometry.

Cell: 4.062 4.062 4.353 Å, 90.00 90.00 90.00°
Fractional coordinates of all 4 atoms:
La1 0.000 0.000 0.000
Cu1 0.000 0.500 0.500
Cu2 0.500 0.000 0.500
Ir1 0.500 0.500 0.000

Energy of formation from the pure elements: -0.069 eV/atom
Density: 10.592 Mg/m³



VASP calculation (PBE) on crystalline TmBeNi6 at its relaxed geometry.

Cell: 3.678 3.678 7.647 Å, 90.00 90.00 90.00°
Fractional coordinates of all 8 atoms:
Tm1 0.000 0.000 0.000
Be1 0.000 0.000 0.500
Ni1 0.000 0.500 0.341
Ni2 0.000 0.500 0.659
Ni3 0.500 0.000 0.341
Ni4 0.500 0.000 0.659
Ni5 0.500 0.500 0.148
Ni6 0.500 0.500 0.852

Energy of formation from the pure elements: -0.123 eV/atom
Density: 8.509 Mg/m³



VASP calculation (PBE) on crystalline Ho6BiTe3Pb2 at its relaxed geometry.

Cell: 9.830 9.830 8.798 Å, 102.57 102.57 25.95°
Fractional coordinates of all 12 atoms:
Ho1 0.004 0.004 0.250
Ho2 0.331 0.331 0.423
Ho3 0.333 0.333 0.908
Ho4 0.667 0.667 0.092
Ho5 0.669 0.669 0.577
Ho6 0.996 0.996 0.750
Bi1 0.500 0.500 0.000
Te1 0.165 0.165 0.833
Te2 0.500 0.500 0.500
Te3 0.835 0.835 0.167
Pb1 0.167 0.167 0.333
Pb2 0.833 0.833 0.667

Formation energy without anion corrections: -972 meV/atom
Density: 9.139 Mg/m³



VASP calculation (PBE) on crystalline Pm2Pr2Pt3 at its relaxed geometry.

Cell: 7.825 7.825 7.825 Å, 109.47 109.47 109.47°
Fractional coordinates of all 14 atoms:
Pm1 0.000 0.620 0.500
Pm2 0.500 0.000 0.620
Pm3 0.620 0.500 0.000
Pm4 0.880 0.880 0.880
Pr1 0.000 0.122 0.500
Pr2 0.122 0.500 0.000
Pr3 0.378 0.378 0.378
Pr4 0.500 0.000 0.122
Pt1 0.121 0.871 0.250
Pt2 0.250 0.121 0.871
Pt3 0.379 0.629 0.750
Pt4 0.629 0.750 0.379
Pt5 0.750 0.379 0.629
Pt6 0.871 0.250 0.121

Energy of formation from the pure elements: -0.970 eV/atom
Density: 10.419 Mg/m³



VASP calculation (PBE) on crystalline Ca5CdSe6 at its relaxed geometry.

Cell: 7.265 7.265 7.262 Å, 99.58 99.58 120.01°
Fractional coordinates of all 12 atoms:
Ca1 0.000 0.000 0.000
Ca2 0.167 0.833 0.500
Ca3 0.334 0.666 0.000
Ca4 0.666 0.334 0.000
Ca5 0.833 0.167 0.500
Cd1 0.500 0.500 0.500
Se1 0.088 0.417 0.252
Se2 0.253 0.253 0.747
Se3 0.417 0.088 0.252
Se4 0.583 0.912 0.748
Se5 0.747 0.747 0.253
Se6 0.912 0.583 0.748

Formation energy without anion corrections: -1757 meV/atom
Density: 4.173 Mg/m³



VASP calculation (PBE) on crystalline NpPt2Rh4 at its relaxed geometry.

Cell: 5.426 6.677 7.297 Å, 64.67 69.80 76.13°
Fractional coordinates of all 14 atoms:
Np1 0.000 0.000 0.000
Np2 0.200 0.773 0.556
Pt1 0.057 0.207 0.264
Pt2 0.352 0.343 0.839
Pt3 0.456 0.715 0.873
Pt4 0.582 0.294 0.157
Rh1 0.150 0.583 0.303
Rh2 0.293 0.150 0.586
Rh3 0.478 0.913 0.129
Rh4 0.624 0.492 0.417
Rh5 0.729 0.870 0.429
Rh6 0.773 0.064 0.683
Rh7 0.872 0.431 0.722
Rh8 0.924 0.630 0.981

Energy of formation from the pure elements: -0.229 eV/atom
Density: 15.475 Mg/m³



VASP calculation (PBE) on crystalline Th2Ni3Pt at its relaxed geometry.

Cell: 8.232 7.860 5.871 Å, 72.02 65.26 42.72°
Fractional coordinates of all 12 atoms:
Th1 0.246 0.754 0.754
Th2 0.250 0.250 0.250
Th3 0.750 0.750 0.750
Th4 0.754 0.246 0.246
Ni1 0.153 0.153 0.847
Ni2 0.155 0.671 0.329
Ni3 0.329 0.845 0.155
Ni4 0.671 0.155 0.845
Ni5 0.845 0.329 0.671
Ni6 0.847 0.847 0.153
Pt1 0.336 0.336 0.664
Pt2 0.664 0.664 0.336

Energy of formation from the pure elements: -0.620 eV/atom
Density: 11.851 Mg/m³



VASP calculation (PBE) on crystalline Al2InNi3 at its relaxed geometry.

Cell: 2.971 2.971 9.038 Å, 90.00 90.00 90.00°
Fractional coordinates of all 6 atoms:
Al1 0.000 0.000 0.156
Al2 0.000 0.000 0.844
In1 0.000 0.000 0.500
Ni1 0.500 0.500 0.000
Ni2 0.500 0.500 0.301
Ni3 0.500 0.500 0.699

Energy of formation from the pure elements: -0.460 eV/atom
Density: 7.178 Mg/m³